TiClF3 | PBE-GGA | relaxed

The structure in CIF format:
```
data_TiClF3
_chemical_formula_sum 'Ti4 Cl4 F12'
_cell_length_a 5.6509
_cell_length_b 5.6509
_cell_length_c 9.7774
_cell_angle_alpha 90.00
_cell_angle_beta 90.00
_cell_angle_gamma 90.00
_space_group_name_H-M_alt 'P 1'
_space_group_IT_number 1
loop_
_space_group_symop_operation_xyz
'x,y,z'
loop_
_atom_site_label
_atom_site_fract_x
_atom_site_fract_y
_atom_site_fract_z
Ti1 0.6327 0.8652 0.4814
Ti2 0.8652 0.3673 0.2314
Ti3 0.1348 0.6327 0.7314
Ti4 0.3673 0.1348 0.9814
Cl1 0.6223 0.1854 0.6038
Cl2 0.8146 0.6223 0.8538
Cl3 0.1854 0.3777 0.3538
Cl4 0.3777 0.8146 0.1038
F1 0.5520 0.3015 0.1264
F2 0.6431 0.1109 0.8984
F3 0.6985 0.5520 0.3764
F4 0.7784 0.0461 0.3313
F5 0.8891 0.6431 0.1484
F6 0.9539 0.7784 0.5813
F7 0.0461 0.2216 0.0813
F8 0.1109 0.3569 0.6484
F9 0.2216 0.9539 0.8313
F10 0.3015 0.4480 0.8764
F11 0.3569 0.8891 0.3984
F12 0.4480 0.6985 0.6264
```

Results
Energy relative to the lowest polymorph listed for this composition (meV per atom): 20.0
Formation energy from raw total energies (eV per atom): -2.819

---

HfSb2C | PBE-GGA | relaxed

The structure in CIF format:
```
data_HfSb2C
_chemical_formula_sum 'Hf2 Sb4 C2'
_cell_length_a 6.4989
_cell_length_b 6.4989
_cell_length_c 6.1614
_cell_angle_alpha 58.17
_cell_angle_beta 58.17
_cell_angle_gamma 90.00
_space_group_name_H-M_alt 'P 1'
_space_group_IT_number 1
loop_
_space_group_symop_operation_xyz
'x,y,z'
loop_
_atom_site_label
_atom_site_fract_x
_atom_site_fract_y
_atom_site_fract_z
Sb1 0.5398 0.1250 0.2500
Sb2 0.2102 0.6250 0.2500
Sb3 0.3750 0.4602 0.7500
Sb4 0.8750 0.7898 0.7500
C1 0.5000 0.5000 0.0000
C2 0.2500 0.7500 0.5000
Hf1 0.0000 0.0000 0.0000
Hf2 0.7500 0.2500 0.5000
```

Results
Formation energy from raw total energies (eV per atom): 0.769

---

CdOs2Cl | PBE-GGA | relaxed

The structure in CIF format:
```
data_CdOs2Cl
_chemical_formula_sum 'Cd1 Os2 Cl1'
_cell_length_a 6.8611
_cell_length_b 6.8611
_cell_length_c 6.8611
_cell_angle_alpha 149.78
_cell_angle_beta 149.78
_cell_angle_gamma 43.27
_space_group_name_H-M_alt 'P 1'
_space_group_IT_number 1
loop_
_space_group_symop_operation_xyz
'x,y,z'
loop_
_atom_site_label
_atom_site_fract_x
_atom_site_fract_y
_atom_site_fract_z
Cl1 0.7500 0.2500 0.5000
Os1 0.0000 0.0000 0.0000
Os2 0.5000 0.5000 0.0000
Cd1 0.2500 0.7500 0.5000
```

Results
Energy relative to the lowest polymorph listed for this composition (meV per atom): 896.8
Formation energy from raw total energies (eV per atom): 1.138

---

ZrSc2Se | PBE-GGA | relaxed

The structure in CIF format:
```
data_ZrSc2Se
_chemical_formula_sum 'Zr1 Sc2 Se1'
_cell_length_a 5.5443
_cell_length_b 5.5443
_cell_length_c 5.8320
_cell_angle_alpha 58.08
_cell_angle_beta 58.08
_cell_angle_gamma 36.01
_space_group_name_H-M_alt 'P 1'
_space_group_IT_number 1
loop_
_space_group_symop_operation_xyz
'x,y,z'
loop_
_atom_site_label
_atom_site_fract_x
_atom_site_fract_y
_atom_site_fract_z
Sc1 0.9944 0.9944 0.0115
Sc2 0.8027 0.8027 0.6287
Se1 0.5060 0.5060 0.6506
Zr1 0.1969 0.1969 0.2092
```

Results
Formation energy from raw total energies (eV per atom): -0.631

---

CrIr6Rh2 | PBE-GGA | relaxed

The structure in CIF format:
```
data_CrIr6Rh2
_chemical_formula_sum 'Cr2 Ir12 Rh4'
_cell_length_a 9.0303
_cell_length_b 5.8084
_cell_length_c 5.8086
_cell_angle_alpha 75.96
_cell_angle_beta 102.41
_cell_angle_gamma 102.41
_space_group_name_H-M_alt 'P 1'
_space_group_IT_number 1
loop_
_space_group_symop_operation_xyz
'x,y,z'
loop_
_atom_site_label
_atom_site_fract_x
_atom_site_fract_y
_atom_site_fract_z
Cr1 0.2500 0.3265 0.6735
Cr2 0.7500 0.6735 0.3265
Ir1 0.5354 0.7907 0.5073
Ir2 0.9646 0.4927 0.2093
Ir3 0.4646 0.2093 0.4927
Ir4 0.0354 0.5073 0.7907
Ir5 0.0550 0.8604 0.4104
Ir6 0.4450 0.5896 0.1396
Ir7 0.9450 0.1396 0.5896
Ir8 0.5550 0.4104 0.8604
Ir9 0.1061 0.8926 0.9743
Ir10 0.3939 0.0257 0.1074
Ir11 0.8939 0.1074 0.0257
Ir12 0.6061 0.9743 0.8926
Rh1 0.3001 0.8094 0.7164
Rh2 0.1999 0.2836 0.1906
Rh3 0.6999 0.1906 0.2836
Rh4 0.8001 0.7164 0.8094
```

Results
ΔH_f (0 K) (eV/atom): 0.3042

---

CaScCdGa | PBE-GGA | relaxed

The structure in CIF format:
```
data_CaScCdGa
_chemical_formula_sum 'Ca1 Sc1 Cd1 Ga1'
_cell_length_a 5.0722
_cell_length_b 5.0722
_cell_length_c 5.0722
_cell_angle_alpha 60.00
_cell_angle_beta 60.00
_cell_angle_gamma 60.00
_space_group_name_H-M_alt 'P 1'
_space_group_IT_number 1
loop_
_space_group_symop_operation_xyz
'x,y,z'
loop_
_atom_site_label
_atom_site_fract_x
_atom_site_fract_y
_atom_site_fract_z
Sc1 0.7500 0.7500 0.7500
Ca1 0.2500 0.2500 0.2500
Ga1 0.5000 0.5000 0.5000
Cd1 0.0000 0.0000 0.0000
```

Results
ΔH_f (0 K) (eV/atom): -0.3684
Energy relative to the lowest polymorph listed for this composition (meV per atom): 50.8

---

LiZn4Fe | PBE-GGA | relaxed

The structure in CIF format:
```
data_LiZn4Fe
_chemical_formula_sum 'Li1 Zn4 Fe1'
_cell_length_a 4.9917
_cell_length_b 4.9917
_cell_length_c 4.9917
_cell_angle_alpha 60.00
_cell_angle_beta 60.00
_cell_angle_gamma 60.00
_space_group_name_H-M_alt 'P 1'
_space_group_IT_number 1
loop_
_space_group_symop_operation_xyz
'x,y,z'
loop_
_atom_site_label
_atom_site_fract_x
_atom_site_fract_y
_atom_site_fract_z
Li1 0.0000 0.0000 0.0000
Zn1 0.8735 0.3755 0.3755
Zn2 0.3755 0.3755 0.8735
Zn3 0.3755 0.8735 0.3755
Zn4 0.3755 0.3755 0.3755
Fe1 0.7500 0.7500 0.7500
```

Results
ΔH_f (0 K) (eV/atom): 0.0742
Energy relative to the lowest polymorph listed for this composition (meV per atom): 101.4

---

YGa2TeIr | PBE-GGA | relaxed

The structure in CIF format:
```
data_YGa2TeIr
_chemical_formula_sum 'Y1 Ga2 Te1 Ir1'
_cell_length_a 4.8102
_cell_length_b 4.8102
_cell_length_c 5.4447
_cell_angle_alpha 90.00
_cell_angle_beta 90.00
_cell_angle_gamma 90.00
_space_group_name_H-M_alt 'P 1'
_space_group_IT_number 1
loop_
_space_group_symop_operation_xyz
'x,y,z'
loop_
_atom_site_label
_atom_site_fract_x
_atom_site_fract_y
_atom_site_fract_z
Y1 0.0000 0.0000 0.5000
Ir1 0.0000 0.0000 0.0000
Te1 0.5000 0.5000 0.5000
Ga1 0.0000 0.5000 0.0000
Ga2 0.5000 0.0000 0.0000
```

Results
Formation energy from raw total energies (eV per atom): -0.639

---

MnB2BrCl | PBE-GGA | relaxed

The structure in CIF format:
```
data_MnB2BrCl
_chemical_formula_sum 'Mn1 B2 Br1 Cl1'
_cell_length_a 4.6890
_cell_length_b 4.5187
_cell_length_c 4.6890
_cell_angle_alpha 90.00
_cell_angle_beta 90.00
_cell_angle_gamma 90.00
_space_group_name_H-M_alt 'P 1'
_space_group_IT_number 1
loop_
_space_group_symop_operation_xyz
'x,y,z'
loop_
_atom_site_label
_atom_site_fract_x
_atom_site_fract_y
_atom_site_fract_z
B1 0.0000 0.0000 0.5000
B2 0.5000 0.0000 0.0000
Mn1 0.0000 0.5000 0.0000
Br1 0.5000 0.5000 0.5000
Cl1 0.0000 0.0000 0.0000
```

Results
Formation energy from raw total energies (eV per atom): 1.810

---

KTcP2S | PBE-GGA | relaxed

The structure in CIF format:
```
data_KTcP2S
_chemical_formula_sum 'K1 Tc1 P2 S1'
_cell_length_a 4.9425
_cell_length_b 4.9425
_cell_length_c 5.0530
_cell_angle_alpha 90.00
_cell_angle_beta 90.00
_cell_angle_gamma 90.00
_space_group_name_H-M_alt 'P 1'
_space_group_IT_number 1
loop_
_space_group_symop_operation_xyz
'x,y,z'
loop_
_atom_site_label
_atom_site_fract_x
_atom_site_fract_y
_atom_site_fract_z
S1 0.0000 0.0000 0.5000
P1 0.0000 0.5000 0.0000
P2 0.5000 0.0000 0.0000
K1 0.0000 0.0000 0.0000
Tc1 0.5000 0.5000 0.5000
```

Results
Energy relative to the lowest polymorph listed for this composition (meV per atom): 2526.5
Formation energy from raw total energies (eV per atom): 2.539

---

CsTeH2Cl8 | PBE-GGA | relaxed

The structure in CIF format:
```
data_CsTeH2Cl8
_chemical_formula_sum 'Cs1 Te1 H2 Cl8'
_cell_length_a 6.9046
_cell_length_b 6.9724
_cell_length_c 9.7485
_cell_angle_alpha 108.33
_cell_angle_beta 74.35
_cell_angle_gamma 110.86
_space_group_name_H-M_alt 'P 1'
_space_group_IT_number 1
loop_
_space_group_symop_operation_xyz
'x,y,z'
loop_
_atom_site_label
_atom_site_fract_x
_atom_site_fract_y
_atom_site_fract_z
Cs1 0.0000 0.0000 0.5000
Te1 0.0000 0.0000 0.0000
H1 0.4557 0.3114 0.7504
H2 0.5443 0.6886 0.2496
Cl1 0.1702 0.8472 0.1142
Cl2 0.6774 0.6934 0.0127
Cl3 0.8635 0.1969 0.2463
Cl4 0.8298 0.1528 0.8858
Cl5 0.3226 0.3066 0.9873
Cl6 0.1365 0.8031 0.7537
Cl7 0.4710 0.6859 0.3880
Cl8 0.5290 0.3141 0.6120
```

---

Sc3SnIr | PBE-GGA | relaxed

The structure in CIF format:
```
data_Sc3SnIr
_chemical_formula_sum 'Sc3 Sn1 Ir1'
_cell_length_a 5.0164
_cell_length_b 5.0164
_cell_length_c 5.0164
_cell_angle_alpha 90.00
_cell_angle_beta 90.00
_cell_angle_gamma 90.00
_space_group_name_H-M_alt 'P 1'
_space_group_IT_number 1
loop_
_space_group_symop_operation_xyz
'x,y,z'
loop_
_atom_site_label
_atom_site_fract_x
_atom_site_fract_y
_atom_site_fract_z
Sc1 0.0000 0.5000 0.0000
Sc2 0.0000 0.0000 0.5000
Sc3 0.5000 0.0000 0.0000
Ir1 0.0000 0.0000 0.0000
Sn1 0.5000 0.5000 0.5000
```

Results
ΔH_f (0 K) (eV/atom): -0.4153
Energy relative to the lowest polymorph listed for this composition (meV per atom): 0.0

---

Which V belongs to each record? In order, 15.6 21.7 20.4 21.9 15.8 23.1 14.7 25.2 19.9 24.7 34.1 25.2 Å³/atom.
Which electronic total energy belongs to each record? In order, -5.890 -6.086 -5.167 -6.805 -8.306 -3.437 -2.504 -5.543 -3.399 -2.743 -2.880 -6.787 eV/atom.